[1]
First-principles (PBE) data for CaDy5Tl6 after structural relaxation, as listed in Alexandria via LeMat-Bulk.

Unit cell a=9.329 b=9.329 c=5.376 alpha=106.68 beta=106.68 gamma=120.09
Sites, in units of the cell vectors:
1 Ca 0.000 0.000 0.000
2 Dy 0.163 0.837 0.500
3 Dy 0.332 0.668 0.000
4 Dy 0.500 0.500 0.500
5 Dy 0.668 0.332 0.000
6 Dy 0.837 0.163 0.500
7 Tl 0.085 0.420 0.252
8 Tl 0.255 0.255 0.755
9 Tl 0.420 0.085 0.252
10 Tl 0.580 0.915 0.748
11 Tl 0.745 0.745 0.245
12 Tl 0.915 0.580 0.748

Computed properties:
The calculation puts the calculated formation energy at -406 kJ/mol of formula units. The crystal system is monoclinic.

=====

[2]
First-principles (PBE) data for CaDy4Tl5 after structural relaxation, as listed in Alexandria via LeMat-Bulk.

Unit cell a=3.779 b=3.779 c=19.372 alpha=90.00 beta=90.00 gamma=90.00
Sites, in units of the cell vectors:
1 Ca 0.000 0.000 0.000
2 Dy 0.000 0.000 0.202
3 Dy 0.000 0.000 0.401
4 Dy 0.000 0.000 0.599
5 Dy 0.000 0.000 0.798
6 Tl 0.500 0.500 0.104
7 Tl 0.500 0.500 0.303
8 Tl 0.500 0.500 0.500
9 Tl 0.500 0.500 0.697
10 Tl 0.500 0.500 0.896

Computed properties:
The calculation puts the calculated formation energy at -348 kJ/mol of formula units. The crystal system is tetragonal.

=====

[3]
First-principles (PBE) data for CaDy4Tl4 after structural relaxation, as listed in Alexandria via LeMat-Bulk.

Unit cell a=9.798 b=9.798 c=6.228 alpha=90.00 beta=90.00 gamma=90.00
Sites, in units of the cell vectors:
1 Ca 0.250 0.250 0.250
2 Ca 0.750 0.750 0.750
3 Dy 0.080 0.651 0.140
4 Dy 0.151 0.920 0.640
5 Dy 0.349 0.580 0.640
6 Dy 0.420 0.849 0.140
7 Dy 0.580 0.151 0.860
8 Dy 0.651 0.420 0.360
9 Dy 0.849 0.080 0.360
10 Dy 0.920 0.349 0.860
11 Tl 0.033 0.619 0.643
12 Tl 0.119 0.967 0.143
13 Tl 0.381 0.533 0.143
14 Tl 0.467 0.881 0.643
15 Tl 0.533 0.119 0.357
16 Tl 0.619 0.467 0.857
17 Tl 0.881 0.033 0.857
18 Tl 0.967 0.381 0.357

Computed properties:
The calculation puts the calculated formation energy at -106 kJ/mol of formula units. The crystal system is tetragonal.